1.
Entry from Alexandria: crystalline PmMgAlCd at its relaxed geometry (PBE).

Properties
* symmetry: F-43m (216)
* crystal system: cubic
* formation energy: -267 meV per atom

Geometry as POSCAR:
```
PmMgAlCd
1.0
5.096 0.000 0.000
2.548 4.413 0.000
2.548 1.471 4.161
Al Mg Pm Cd
1 1 1 1
direct
0.250 0.250 0.250
0.000 0.000 0.000
0.500 0.500 0.500
0.750 0.750 0.750
```

2.
Entry from Alexandria: crystalline Pm4MgAl2Cd at its relaxed geometry (PBE).

Properties
* symmetry: R-3m (166)
* crystal system: trigonal
* formation energy: -305 meV per atom

Geometry as POSCAR:
```
Pm4MgAl2Cd
1.0
5.334 0.000 0.000
2.667 4.619 0.000
2.667 1.540 8.718
Pm Mg Cd Al
4 1 1 2
direct
0.376 0.376 0.872
0.624 0.624 0.128
0.874 0.874 0.378
0.126 0.126 0.622
0.000 0.000 0.000
0.500 0.500 0.500
0.748 0.748 0.757
0.252 0.252 0.243
```

Among the records above, which one has the highest formation energy? PmMgAlCd

What did the second record say?
Entry from Alexandria: crystalline Pm4MgAl2Cd at its relaxed geometry (PBE).

Properties
* symmetry: R-3m (166)
* crystal system: trigonal
* formation energy: -305 meV per atom

Geometry as POSCAR:
```
Pm4MgAl2Cd
1.0
5.334 0.000 0.000
2.667 4.619 0.000
2.667 1.540 8.718
Pm Mg Cd Al
4 1 1 2
direct
0.376 0.376 0.872
0.624 0.624 0.128
0.874 0.874 0.378
0.126 0.126 0.622
0.000 0.000 0.000
0.500 0.500 0.500
0.748 0.748 0.757
0.252 0.252 0.243
```